1.
Compound: La2TiCrO6
Source: Alexandria
Functional: PBE with a Hubbard U
Structure: optimized geometry

## Properties
SG: R-3, No. 148
N(E_F): 3.62 states/eV per cell
offset from the most stable computed form: 0.46 eV per formula unit
theoretical density: 6.361 g cm⁻³

Structure (POSCAR):
```
La2TiCrO6
1.0
2.827 1.632 4.468
-2.827 1.632 4.468
0.000 -3.264 4.468
La Ti Cr O
2 1 1 6
direct
0.249 0.249 0.249 La
0.751 0.751 0.751 La
0.000 0.000 0.000 Ti
0.500 0.500 0.500 Cr
0.179 0.748 0.322 O
0.252 0.678 0.821 O
0.322 0.179 0.748 O
0.678 0.821 0.252 O
0.748 0.322 0.179 O
0.821 0.252 0.678 O
```

***

2.
Compound: La3Ti3CrO12
Source: Alexandria
Functional: PBE with a Hubbard U
Structure: optimized geometry

## Properties
SG: P1, No. 1
VASP energy: -8.666 eV/atom
N(E_F): 0.00 states/eV per cell
theoretical density: 5.568 g cm⁻³

Structure (POSCAR):
```
La3Ti3CrO12
1.0
5.528 0.000 0.000
0.011 5.534 0.000
0.021 0.006 7.841
La Ti Cr O
3 3 1 12
direct
0.000 0.000 0.000 La
0.009 0.962 0.509 La
0.501 0.505 0.991 La
0.001 0.486 0.266 Ti
0.495 0.991 0.742 Ti
0.502 0.993 0.258 Ti
0.997 0.485 0.747 Cr
0.065 0.473 0.000 O
0.207 0.202 0.275 O
0.219 0.203 0.725 O
0.240 0.733 0.266 O
0.258 0.733 0.730 O
0.437 0.985 0.000 O
0.562 0.990 0.497 O
0.725 0.248 0.204 O
0.731 0.244 0.792 O
0.752 0.753 0.207 O
0.765 0.760 0.789 O
0.944 0.500 0.495 O
```

***

3.
Compound: LaTiCrO6
Source: Alexandria
Functional: PBE with a Hubbard U
Structure: optimized geometry

## Properties
SG: P4_2nm, No. 102
offset from the most stable computed form: 0.48 eV per formula unit
theoretical density: 4.861 g cm⁻³

Structure (POSCAR):
```
LaTiCrO6
1.0
4.873 0.000 0.000
0.000 4.873 0.000
0.000 0.000 9.630
La Ti Cr O
2 2 2 12
direct
0.000 0.000 0.000 La
0.500 0.500 0.500 La
0.000 0.000 0.354 Ti
0.500 0.500 0.854 Ti
0.000 0.000 0.669 Cr
0.500 0.500 0.169 Cr
0.170 0.170 0.516 O
0.231 0.231 0.816 O
0.246 0.246 0.206 O
0.254 0.746 0.706 O
0.269 0.731 0.316 O
0.330 0.670 0.016 O
0.670 0.330 0.016 O
0.731 0.269 0.316 O
0.746 0.254 0.706 O
0.754 0.754 0.206 O
0.769 0.769 0.816 O
0.830 0.830 0.516 O
```

***

4.
Compound: La2TiCrO6
Source: Alexandria
Functional: PBE with a Hubbard U
Structure: optimized geometry

## Properties
SG: P4/mmm, No. 123
N(E_F): 2.86 states/eV per cell
offset from the most stable computed form: 1.91 eV per formula unit
theoretical density: 6.449 g cm⁻³

Structure (POSCAR):
```
La2TiCrO6
1.0
5.553 0.000 0.000
0.000 5.553 0.000
0.000 0.000 3.955
La Ti Cr O
2 1 1 6
direct
0.000 0.500 0.000 La
0.500 0.000 0.000 La
0.000 0.000 0.500 Ti
0.500 0.500 0.500 Cr
0.000 0.000 0.000 O
0.250 0.250 0.500 O
0.250 0.750 0.500 O
0.500 0.500 0.000 O
0.750 0.250 0.500 O
0.750 0.750 0.500 O
```

***

5.
Compound: LaTiCrO6
Source: Alexandria
Functional: PBE with a Hubbard U
Structure: optimized geometry

## Properties
SG: Pc, No. 7
N(E_F): 0.31 states/eV per cell
offset from the most stable computed form: 0.00 eV per formula unit
theoretical density: 4.943 g cm⁻³

Structure (POSCAR):
```
LaTiCrO6
1.0
5.375 0.000 0.000
0.000 5.427 0.000
-5.376 0.000 7.711
La Ti Cr O
2 2 2 12
direct
0.000 0.222 0.000 La
0.000 0.778 0.500 La
0.737 0.263 0.247 Ti
0.737 0.737 0.747 Ti
0.242 0.259 0.744 Cr
0.242 0.741 0.244 Cr
0.023 0.473 0.229 O
0.023 0.527 0.729 O
0.059 0.250 0.508 O
0.059 0.750 0.008 O
0.465 0.259 0.005 O
0.465 0.741 0.505 O
0.523 0.020 0.276 O
0.523 0.980 0.776 O
0.557 0.460 0.779 O
0.557 0.540 0.279 O
0.996 0.031 0.736 O
0.996 0.969 0.236 O
```

***

6.
Compound: LaTiZnCrO6
Source: Alexandria
Functional: PBE with a Hubbard U
Structure: optimized geometry

## Properties
SG: Pc, No. 7
VASP energy: -7.665 eV/atom
N(E_F): 0.00 states/eV per cell
theoretical density: 5.634 g cm⁻³

Structure (POSCAR):
```
LaTiZnCrO6
1.0
5.391 0.000 0.000
0.000 5.662 0.000
-5.367 0.000 7.728
La Ti Zn Cr O
2 2 2 2 12
direct
0.000 0.202 0.000 La
0.000 0.798 0.500 La
0.735 0.286 0.250 Ti
0.735 0.714 0.750 Ti
0.506 0.156 0.501 Zn
0.506 0.844 0.001 Zn
0.235 0.258 0.748 Cr
0.235 0.742 0.248 Cr
0.089 0.050 0.302 O
0.089 0.950 0.802 O
0.405 0.456 0.209 O
0.405 0.544 0.709 O
0.485 0.054 0.699 O
0.485 0.946 0.199 O
0.565 0.245 0.005 O
0.565 0.755 0.505 O
0.864 0.227 0.498 O
0.864 0.773 0.998 O
0.984 0.465 0.793 O
0.984 0.535 0.293 O
```

***

7.
Compound: LaTlCr2O8
Source: Alexandria
Functional: PBE with a Hubbard U
Structure: optimized geometry

## Properties
SG: P-3, No. 147
VASP energy: -6.890 eV/atom
N(E_F): 0.00 states/eV per cell
theoretical density: 3.930 g cm⁻³

Structure (POSCAR):
```
LaTlCr2O8
1.0
5.924 0.000 0.000
-2.962 5.130 0.000
0.000 0.000 7.999
La Tl Cr O
1 1 2 8
direct
0.000 0.000 0.000 La
0.000 0.000 0.500 Tl
0.333 0.667 0.262 Cr
0.667 0.333 0.738 Cr
0.175 0.357 0.192 O
0.183 0.825 0.192 O
0.333 0.667 0.464 O
0.357 0.183 0.808 O
0.643 0.817 0.192 O
0.667 0.333 0.536 O
0.817 0.175 0.808 O
0.825 0.643 0.808 O
```

***

8.
Compound: LaUCr2O8
Source: Alexandria
Functional: PBE with a Hubbard U
Structure: optimized geometry

## Properties
SG: I-4m2, No. 119
VASP energy: -8.320 eV/atom
theoretical density: 5.955 g cm⁻³

Structure (POSCAR):
```
LaUCr2O8
1.0
-3.570 3.570 3.330
3.570 -3.570 3.330
3.570 3.570 -3.330
La U Cr O
1 1 2 8
direct
0.000 0.000 0.000 La
0.250 0.750 0.500 U
0.500 0.500 0.000 Cr
0.750 0.250 0.500 Cr
0.316 0.113 0.797 O
0.316 0.519 0.203 O
0.384 0.057 0.327 O
0.481 0.684 0.797 O
0.730 0.057 0.673 O
0.887 0.684 0.203 O
0.943 0.270 0.327 O
0.943 0.616 0.673 O
```

***

9.
Compound: LaUCrO6
Source: Alexandria
Functional: PBE with a Hubbard U
Structure: optimized geometry

## Properties
SG: P-31c, No. 163
VASP energy: -8.888 eV/atom
N(E_F): 0.00 states/eV per cell
theoretical density: 6.569 g cm⁻³

Structure (POSCAR):
```
LaUCrO6
1.0
5.425 0.000 0.000
-2.712 4.698 0.000
0.000 0.000 10.413
La U Cr O
2 2 2 12
direct
0.000 0.000 0.000 La
0.000 0.000 0.500 La
0.333 0.667 0.250 U
0.667 0.333 0.750 U
0.333 0.667 0.750 Cr
0.667 0.333 0.250 Cr
0.008 0.365 0.643 O
0.008 0.644 0.857 O
0.356 0.365 0.857 O
0.356 0.992 0.643 O
0.365 0.008 0.143 O
0.365 0.356 0.357 O
0.635 0.644 0.643 O
0.635 0.992 0.857 O
0.644 0.008 0.357 O
0.644 0.635 0.143 O
0.992 0.356 0.143 O
0.992 0.635 0.357 O
```

***

10.
Compound: LaVCrO6
Source: Alexandria
Functional: PBE with a Hubbard U
Structure: optimized geometry

## Properties
SG: P1, No. 1
VASP energy: -7.663 eV/atom
theoretical density: 5.043 g cm⁻³

Structure (POSCAR):
```
LaVCrO6
1.0
5.292 0.000 0.000
-0.084 5.354 0.000
-2.604 -2.676 3.926
La V Cr O
1 1 1 6
direct
0.000 0.000 0.000 La
0.762 0.262 0.524 V
0.255 0.755 0.510 Cr
0.018 0.441 0.463 O
0.445 0.022 0.463 O
0.483 0.981 0.964 O
0.538 0.521 0.485 O
0.949 0.966 0.489 O
0.987 0.489 0.976 O
```

***

11.
Compound: LaVZnCrO6
Source: Alexandria
Functional: PBE with a Hubbard U
Structure: optimized geometry

## Properties
SG: Pc, No. 7
VASP energy: -7.286 eV/atom
theoretical density: 5.916 g cm⁻³

Structure (POSCAR):
```
LaVZnCrO6
1.0
5.358 0.000 0.000
0.000 5.438 0.000
-5.326 0.000 7.769
La V Zn Cr O
2 2 2 2 12
direct
0.000 0.213 0.000 La
0.000 0.787 0.500 La
0.741 0.266 0.249 V
0.741 0.734 0.749 V
0.486 0.277 0.503 Zn
0.486 0.723 0.003 Zn
0.244 0.249 0.750 Cr
0.244 0.751 0.250 Cr
0.115 0.063 0.311 O
0.115 0.937 0.811 O
0.406 0.477 0.190 O
0.406 0.523 0.690 O
0.508 0.041 0.696 O
0.508 0.959 0.196 O
0.569 0.298 0.998 O
0.569 0.702 0.498 O
0.862 0.231 0.495 O
0.862 0.769 0.995 O
0.991 0.469 0.790 O
0.991 0.531 0.290 O
```

***

12.
Compound: LaCrWO6
Source: Alexandria
Functional: PBE with a Hubbard U
Structure: optimized geometry

## Properties
SG: P1, No. 1
VASP energy: -7.893 eV/atom
N(E_F): 0.00 states/eV per cell
theoretical density: 6.588 g cm⁻³

Structure (POSCAR):
```
LaCrWO6
1.0
5.501 0.000 0.000
-2.724 4.786 0.000
-0.041 -3.169 4.507
La Cr W O
1 1 1 6
direct
0.000 0.000 0.000 La
0.251 0.507 0.760 Cr
0.749 0.508 0.259 W
0.026 0.000 0.546 O
0.467 0.016 0.988 O
0.500 0.562 0.073 O
0.547 0.518 0.549 O
0.968 0.521 0.986 O
0.999 0.436 0.433 O
```